Below is a relaxed structure of Sr3VAs2O8, with properties calculated at the PBE+U level.

a b c (Å): 5.735 5.735 7.366
angles (deg): 90.00 90.00 120.00
Fractional coordinates of all 14 atoms:
As  0.333  0.667  0.200
O  0.672  0.836  0.329
O  0.667  0.333  0.050
O  0.164  0.836  0.329
O  0.836  0.672  0.671
Sr  0.667  0.333  0.367
O  0.333  0.667  0.950
V  0.000  0.000  0.500
Sr  0.000  0.000  0.000
O  0.328  0.164  0.671
O  0.164  0.328  0.329
O  0.836  0.164  0.671
Sr  0.333  0.667  0.633
As  0.667  0.333  0.800

Results
Mass density   4.68 g cm⁻³
Crystal system   trigonal
E   -6.280 eV per atom
V   209.8 Å³/cell